No. 1
{"formula": "Tb5O", "functional": "PBE-GGA", "state": "relaxed", "cell": [[-0.076, -1.481, 6.141], [0.380, -3.196, -0.766], [8.488, 2.548, 0.719]], "species": ["Tb", "Tb", "O", "Tb", "Tb", "Tb"], "frac_coords": [[0.500, 0.500, 0.000], [0.000, 0.595, 0.190], [0.000, 0.000, 0.000], [0.500, 0.167, 0.334], [0.500, 0.833, 0.666], [0.000, 0.405, 0.810]], "volume_a3_per_atom": 30.43, "formation_energy_uncorrected_kj_per_mol_atoms": -38.7, "density_g_cm3": 7.372, "space_group": "Cmmm, No. 65", "dft_energy_ev_per_cell": -30.516}


No. 2
{"formula": "HoLuTiIn", "functional": "PBE-GGA", "state": "relaxed", "cell": [[-2.620, 0.940, -4.387], [0.764, -2.996, -4.175], [-3.716, -3.279, -1.559]], "species": ["Lu", "In", "Ti", "Ho"], "frac_coords": [[0.500, 0.500, 0.500], [0.750, 0.750, 0.750], [0.250, 0.250, 0.250], [0.000, 0.000, 0.000]], "volume_a3_per_atom": 24.79, "density_g_cm3": 8.416, "space_group": "F-43m, No. 216", "dft_energy_ev_per_cell": -20.091, "ef_ev_per_atom": -0.09}


No. 3
{"formula": "Np2SeS3", "functional": "PBE-GGA", "state": "relaxed", "cell": [[3.962, 0.000, 0.000], [0.000, 3.962, 0.000], [0.000, 0.000, 7.768]], "species": ["Np", "Se", "Np", "S", "S", "S"], "frac_coords": [[0.000, 0.500, 0.277], [0.500, 0.500, 0.000], [0.500, 0.000, 0.723], [0.500, 0.000, 0.361], [0.000, 0.500, 0.639], [0.000, 0.000, 0.000]], "volume_a3_per_atom": 20.32, "formation_energy_uncorrected_kj_per_mol_atoms": -113.3, "de_polymorph_kj_per_mol_fu": 0.0, "density_g_cm3": 8.841, "space_group": "P-4m2, No. 115", "dft_energy_ev_per_cell": -48.794}


No. 4
{"formula": "KCdInF6", "functional": "PBE-GGA", "state": "relaxed", "cell": [[-1.257, -2.736, -7.102], [7.637, 1.837, -2.060], [-1.488, -4.726, 6.273]], "species": ["F", "F", "F", "F", "In", "Cd", "F", "F", "Cd", "F", "F", "F", "K", "K", "F", "In", "F", "F"], "frac_coords": [[0.156, 0.906, 0.312], [0.180, 0.919, 0.758], [0.844, 0.094, 0.688], [0.820, 0.081, 0.242], [0.500, 0.500, 0.000], [0.500, 0.000, 0.500], [0.820, 0.662, 0.242], [0.445, 0.695, 0.891], [0.000, 0.000, 0.500], [0.555, 0.305, 0.109], [0.423, 0.662, 0.242], [0.577, 0.919, 0.758], [0.075, 0.325, 0.150], [0.925, 0.675, 0.850], [0.577, 0.338, 0.758], [0.500, 0.000, 0.000], [0.423, 0.081, 0.242], [0.180, 0.338, 0.758]], "volume_a3_per_atom": 19.85, "formation_energy_uncorrected_kj_per_mol_atoms": -238.2, "density_g_cm3": 3.535, "space_group": "Imma, No. 74", "dft_energy_ev_per_cell": -76.388}


No. 5
{"formula": "RbCu4F8", "functional": "PBE-GGA", "state": "relaxed", "cell": [[-0.960, -0.257, 6.667], [4.617, -1.245, 4.750], [2.390, 5.920, 3.902]], "species": ["Rb", "F", "F", "Cu", "Cu", "F", "F", "F", "F", "F", "F", "Cu", "Cu"], "frac_coords": [[0.500, 0.500, 0.500], [0.756, 0.756, 0.170], [0.265, 0.763, 0.162], [0.500, 0.500, 0.000], [0.500, 0.000, 0.000], [0.244, 0.244, 0.830], [0.237, 0.735, 0.838], [0.262, 0.262, 0.160], [0.735, 0.237, 0.838], [0.738, 0.738, 0.840], [0.763, 0.265, 0.162], [0.000, 0.000, 0.000], [0.000, 0.500, 0.000]], "volume_a3_per_atom": 18.11, "formation_energy_uncorrected_kj_per_mol_atoms": -160.0, "de_polymorph_kj_per_mol_fu": 0.0, "density_g_cm3": 3.468, "space_group": "C2/m, No. 12", "dft_energy_ev_per_cell": -53.887}


No. 6
{"formula": "Ni3Pt5", "functional": "PBE-GGA", "state": "relaxed", "cell": [[-0.977, -2.270, -6.805], [3.911, -5.524, -2.571], [-3.555, -3.260, 1.598]], "species": ["Pt", "Pt", "Ni", "Pt", "Pt", "Pt", "Pt", "Ni", "Ni", "Pt", "Pt", "Pt", "Ni", "Ni", "Pt", "Ni"], "frac_coords": [[0.667, 0.667, 0.500], [0.774, 0.226, 0.250], [0.593, 0.000, 0.250], [0.774, 0.000, 0.750], [0.667, 0.667, 0.000], [0.000, 0.774, 0.250], [0.000, 0.226, 0.750], [0.000, 0.407, 0.250], [0.593, 0.407, 0.750], [0.226, 0.000, 0.250], [0.333, 0.333, 0.000], [0.226, 0.774, 0.750], [0.407, 0.593, 0.250], [0.407, 0.000, 0.750], [0.333, 0.333, 0.500], [0.000, 0.593, 0.750]], "volume_a3_per_atom": 14.41, "density_g_cm3": 16.582, "space_group": "P6_3/mcm, No. 193", "dft_energy_ev_per_cell": -93.000, "ef_ev_per_atom": 0.13}


No. 7
{"formula": "CeSc2Cu9", "functional": "PBE-GGA", "state": "relaxed", "cell": [[4.908, 0.000, 1.461], [2.237, 4.369, 1.461], [0.114, 0.070, 8.593]], "species": ["Cu", "Ce", "Sc", "Cu", "Cu", "Cu", "Cu", "Cu", "Sc", "Cu", "Cu", "Cu"], "frac_coords": [[0.414, 0.917, 0.255], [0.000, 0.000, 0.000], [0.853, 0.853, 0.440], [0.586, 0.586, 0.745], [0.083, 0.586, 0.745], [0.667, 0.667, 0.998], [0.500, 0.500, 0.500], [0.333, 0.333, 0.002], [0.147, 0.147, 0.560], [0.414, 0.414, 0.255], [0.917, 0.414, 0.255], [0.586, 0.083, 0.745]], "volume_a3_per_atom": 15.27, "density_g_cm3": 7.267, "space_group": "R-3m, No. 166", "dft_energy_ev_per_cell": -57.636, "ef_ev_per_atom": -0.18}


No. 8
{"formula": "Ce3Tl3Pb2", "functional": "PBE-GGA", "state": "relaxed", "cell": [[6.441, 0.000, 0.000], [0.000, 9.367, 0.000], [0.000, -4.683, 8.112]], "species": ["Pb", "Ce", "Pb", "Tl", "Ce", "Tl", "Ce", "Ce", "Tl", "Pb", "Tl", "Tl", "Ce", "Pb", "Tl", "Ce"], "frac_coords": [[0.000, 0.333, 0.667], [0.750, 0.000, 0.596], [0.000, 0.667, 0.333], [0.250, 0.213, 0.213], [0.750, 0.404, 0.404], [0.250, 0.000, 0.787], [0.250, 0.596, 0.596], [0.250, 0.404, 0.000], [0.250, 0.787, 0.000], [0.500, 0.667, 0.333], [0.750, 0.787, 0.787], [0.750, 0.213, 0.000], [0.750, 0.596, 0.000], [0.500, 0.333, 0.667], [0.750, 0.000, 0.213], [0.250, 0.000, 0.404]], "volume_a3_per_atom": 30.59, "density_g_cm3": 9.826, "space_group": "P6_3/mcm, No. 193", "dft_energy_ev_per_cell": -67.466, "ef_ev_per_atom": -0.18}


No. 9
{"formula": "GdZrSnAu", "functional": "PBE-GGA", "state": "relaxed", "cell": [[5.113, 0.000, 0.000], [2.557, 4.428, 0.000], [2.557, 1.476, 4.175]], "species": ["Au", "Zr", "Sn", "Gd"], "frac_coords": [[0.750, 0.750, 0.750], [0.000, 0.000, 0.000], [0.250, 0.250, 0.250], [0.500, 0.500, 0.500]], "volume_a3_per_atom": 23.64, "density_g_cm3": 9.909, "space_group": "F-43m, No. 216", "dft_energy_ev_per_cell": -31.954, "ef_ev_per_atom": -0.51}


No. 10
{"formula": "Li4Zr3ScSe8", "functional": "PBE-GGA", "state": "relaxed", "cell": [[-4.287, -6.094, 1.420], [0.712, -2.258, -7.539], [6.298, 1.231, 4.043]], "species": ["Se", "Se", "Se", "Zr", "Se", "Li", "Zr", "Li", "Se", "Li", "Se", "Zr", "Se", "Se", "Li", "Sc"], "frac_coords": [[0.249, 0.247, 0.498], [0.249, 0.750, 0.001], [0.248, 0.250, 0.999], [0.500, 0.500, 0.500], [0.751, 0.753, 0.502], [0.500, 0.000, 0.000], [0.500, 0.500, 0.000], [0.000, 0.000, 0.500], [0.751, 0.250, 0.999], [0.500, 0.000, 0.500], [0.751, 0.250, 0.502], [0.000, 0.500, 0.500], [0.249, 0.750, 0.498], [0.752, 0.750, 0.001], [0.000, 0.000, 0.000], [0.000, 0.500, 0.000]], "volume_a3_per_atom": 20.48, "formation_energy_uncorrected_kj_per_mol_atoms": -134.1, "density_g_cm3": 4.956, "space_group": "R-3m, No. 166", "dft_energy_ev_per_cell": -89.752}


No. 11
{"formula": "Th2ReCl", "functional": "PBE-GGA", "state": "relaxed", "cell": [[3.417, 0.000, 0.000], [0.000, 3.417, 0.000], [0.000, 0.000, 8.369]], "species": ["Th", "Cl", "Re", "Th"], "frac_coords": [[0.000, 0.000, 0.219], [0.500, 0.500, 0.500], [0.500, 0.500, 0.000], [0.000, 0.000, 0.781]], "volume_a3_per_atom": 24.44, "formation_energy_uncorrected_kj_per_mol_atoms": -56.8, "de_polymorph_kj_per_mol_fu": 6.3, "density_g_cm3": 11.650, "space_group": "P4/mmm, No. 123", "dft_energy_ev_per_cell": -31.490}


No. 12
{"formula": "TbNd2ErS4", "functional": "PBE-GGA", "state": "relaxed", "cell": [[3.925, 0.000, 0.000], [0.000, 6.847, 0.130], [0.000, -2.383, 6.610]], "species": ["S", "Nd", "S", "S", "Tb", "S", "Nd", "Er"], "frac_coords": [[0.500, 0.241, 0.232], [0.500, 0.000, 0.500], [0.000, 0.253, 0.766], [0.500, 0.759, 0.768], [0.500, 0.500, 0.000], [0.000, 0.747, 0.234], [0.000, 0.500, 0.500], [0.000, 0.000, 0.000]], "volume_a3_per_atom": 22.36, "formation_energy_uncorrected_kj_per_mol_atoms": -193.8, "density_g_cm3": 6.897, "space_group": "P2/m, No. 10", "dft_energy_ev_per_cell": -51.303}


No. 13
{"formula": "Al2CdTe", "functional": "PBE-GGA", "state": "relaxed", "cell": [[6.039, 0.021, -0.007], [2.973, 5.256, 0.007], [-4.133, -3.275, 2.942]], "species": ["Al", "Cd", "Te", "Al"], "frac_coords": [[0.518, 0.518, 0.000], [0.250, 0.750, 0.500], [0.750, 0.250, 0.500], [0.982, 0.982, 0.000]], "volume_a3_per_atom": 23.31, "formation_energy_uncorrected_kj_per_mol_atoms": 18.9, "de_polymorph_kj_per_mol_fu": 64.7, "density_g_cm3": 5.235, "space_group": "Immm, No. 71", "dft_energy_ev_per_cell": -10.760}


No. 14
{"formula": "Pm2MgIn8", "functional": "PBE-GGA", "state": "relaxed", "cell": [[4.877, 0.000, 0.000], [0.000, 4.877, 0.000], [0.000, 0.000, 12.185]], "species": ["Mg", "Pm", "In", "In", "In", "In", "In", "In", "In", "In", "Pm"], "frac_coords": [[0.000, 0.000, 0.000], [0.000, 0.000, 0.312], [0.500, 0.500, 0.688], [0.000, 0.500, 0.500], [0.500, 0.000, 0.500], [0.500, 0.000, 0.132], [0.000, 0.500, 0.132], [0.000, 0.500, 0.868], [0.500, 0.500, 0.312], [0.500, 0.000, 0.868], [0.000, 0.000, 0.688]], "volume_a3_per_atom": 26.35, "density_g_cm3": 7.063, "space_group": "P4/mmm, No. 123", "dft_energy_ev_per_cell": -36.466, "ef_ev_per_atom": -0.31}


No. 15
{"formula": "LiRe2Ru", "functional": "PBE-GGA", "state": "relaxed", "cell": [[-0.793, -2.280, -3.797], [-1.531, -3.852, -1.752], [-4.617, 1.583, -0.447]], "species": ["Re", "Re", "Li", "Ru"], "frac_coords": [[0.997, 0.997, 0.991], [0.246, 0.246, 0.250], [0.752, 0.752, 0.745], [0.506, 0.506, 0.514]], "volume_a3_per_atom": 14.07, "de_polymorph_kj_per_mol_fu": 41.4, "density_g_cm3": 14.172, "space_group": "Cm, No. 8", "dft_energy_ev_per_cell": -35.150, "ef_ev_per_atom": 0.23}


No. 16
{"formula": "CeSmZrAl", "functional": "PBE-GGA", "state": "relaxed", "cell": [[-2.767, -0.895, -4.275], [2.352, -1.624, -4.309], [-0.701, -4.847, -1.658]], "species": ["Sm", "Zr", "Al", "Ce"], "frac_coords": [[0.750, 0.750, 0.750], [0.250, 0.250, 0.250], [0.000, 0.000, 0.000], [0.500, 0.500, 0.500]], "volume_a3_per_atom": 24.44, "density_g_cm3": 6.942, "space_group": "F-43m, No. 216", "dft_energy_ev_per_cell": -22.922, "ef_ev_per_atom": 0.01}


No. 17
{"formula": "LaTi3Re", "functional": "PBE-GGA", "state": "relaxed", "cell": [[-4.337, -1.720, -0.015], [0.698, -1.722, -4.280], [1.572, -3.980, 1.858]], "species": ["Re", "Ti", "Ti", "Ti", "La"], "frac_coords": [[0.500, 0.500, 0.500], [0.000, 0.500, 0.000], [0.000, 0.000, 0.500], [0.500, 0.000, 0.000], [0.000, 0.000, 0.000]], "volume_a3_per_atom": 20.31, "de_polymorph_kj_per_mol_fu": 707.2, "density_g_cm3": 7.663, "space_group": "Pm-3m, No. 221", "dft_energy_ev_per_cell": -32.263, "ef_ev_per_atom": 1.76}


No. 18
{"formula": "Sc8Zn2Tc", "functional": "PBE-GGA", "state": "relaxed", "cell": [[-4.561, 0.850, -1.377], [-1.979, -0.927, 5.986], [4.058, 7.323, -0.416]], "species": ["Zn", "Sc", "Sc", "Sc", "Sc", "Sc", "Sc", "Tc", "Sc", "Sc", "Zn"], "frac_coords": [[0.819, 0.297, 0.637], [0.193, 0.291, 0.385], [0.662, 0.963, 0.324], [0.976, 0.209, 0.952], [0.024, 0.791, 0.048], [0.807, 0.709, 0.615], [0.338, 0.037, 0.676], [0.500, 0.000, 0.000], [0.594, 0.439, 0.189], [0.406, 0.561, 0.811], [0.181, 0.703, 0.363]], "volume_a3_per_atom": 21.17, "de_polymorph_kj_per_mol_fu": 0.0, "density_g_cm3": 4.195, "space_group": "C2/m, No. 12", "dft_energy_ev_per_cell": -65.888, "ef_ev_per_atom": -0.21}


No. 19
{"formula": "Ru3Cl", "functional": "PBE-GGA", "state": "relaxed", "cell": [[-1.365, 3.003, 2.066], [-1.310, -2.462, 2.715], [3.402, 0.257, 1.874]], "species": ["Ru", "Cl", "Ru", "Ru"], "frac_coords": [[0.000, 0.500, 0.500], [0.000, 0.000, 0.000], [0.500, 0.500, 0.000], [0.500, 0.000, 0.500]], "volume_a3_per_atom": 14.74, "formation_energy_uncorrected_kj_per_mol_atoms": 121.2, "de_polymorph_kj_per_mol_fu": 322.1, "density_g_cm3": 9.537, "space_group": "Pm-3m, No. 221", "dft_energy_ev_per_cell": -24.648}


No. 20
{"formula": "CaTaBr2", "functional": "PBE-GGA", "state": "relaxed", "cell": [[5.023, 0.000, 0.000], [0.000, 5.023, 0.000], [2.512, 2.512, 8.777]], "species": ["Ca", "Br", "Br", "Ca", "Ta", "Ta", "Br", "Br"], "frac_coords": [[0.250, 0.750, 0.500], [0.375, 0.338, 0.750], [0.088, 0.625, 0.250], [0.500, 0.500, 0.000], [0.750, 0.250, 0.500], [0.000, 0.000, 0.000], [0.662, 0.125, 0.250], [0.875, 0.912, 0.750]], "volume_a3_per_atom": 27.68, "formation_energy_uncorrected_kj_per_mol_atoms": 6.1, "de_polymorph_kj_per_mol_fu": 185.0, "density_g_cm3": 5.711, "space_group": "I-42d, No. 122", "dft_energy_ev_per_cell": -33.892}


No. 21
{"formula": "GdTmSc2", "functional": "PBE-GGA", "state": "relaxed", "cell": [[4.676, 0.000, 0.000], [0.000, 4.858, 0.000], [0.000, 0.000, 4.858]], "species": ["Sc", "Sc", "Tm", "Gd"], "frac_coords": [[0.000, 0.000, 0.500], [0.000, 0.500, 0.000], [0.500, 0.000, 0.000], [0.500, 0.500, 0.500]], "volume_a3_per_atom": 27.59, "de_polymorph_kj_per_mol_fu": 0.0, "density_g_cm3": 6.260, "space_group": "P4/mmm, No. 123", "dft_energy_ev_per_cell": -31.003, "ef_ev_per_atom": 0.05}


No. 22
{"formula": "Be3PRu4", "functional": "PBE-GGA", "state": "relaxed", "cell": [[3.855, 0.000, -1.040], [-0.277, 3.849, -1.025], [-0.378, -0.423, 6.260]], "species": ["Ru", "Ru", "Ru", "Ru", "P", "Be", "Be", "Be"], "frac_coords": [[0.876, 0.876, 0.752], [0.376, 0.377, 0.752], [0.624, 0.623, 0.248], [0.124, 0.124, 0.248], [0.500, 0.000, 0.000], [0.242, 0.742, 0.484], [0.000, 0.500, 0.000], [0.758, 0.258, 0.516]], "volume_a3_per_atom": 11.19, "density_g_cm3": 8.572, "space_group": "C2/m, No. 12", "dft_energy_ev_per_cell": -56.632, "ef_ev_per_atom": -0.37}


No. 23
{"formula": "Zn2Ga3Cu7", "functional": "PBE-GGA", "state": "relaxed", "cell": [[-0.701, 2.318, -1.089], [-0.542, -1.934, -3.767], [-13.603, -0.938, 6.759]], "species": ["Cu", "Ga", "Zn", "Zn", "Cu", "Ga", "Cu", "Cu", "Cu", "Cu", "Ga", "Cu"], "frac_coords": [[0.500, 0.002, 0.836], [0.500, 0.500, 0.000], [0.500, 0.598, 0.282], [0.500, 0.402, 0.718], [0.000, 0.473, 0.139], [0.000, 0.839, 0.616], [0.000, 0.527, 0.861], [0.500, 0.710, 0.452], [0.000, 0.000, 0.000], [0.500, 0.998, 0.164], [0.000, 0.161, 0.384], [0.500, 0.290, 0.548]], "volume_a3_per_atom": 13.92, "de_polymorph_kj_per_mol_fu": 15.8, "density_g_cm3": 7.802, "space_group": "P2/m, No. 10", "dft_energy_ev_per_cell": -40.046, "ef_ev_per_atom": 0.02}


No. 24
{"formula": "YAlSCl2", "functional": "PBE-GGA", "state": "relaxed", "cell": [[-1.358, 5.024, -0.988], [-1.958, -1.451, -4.689], [-4.729, -0.839, 2.235]], "species": ["Cl", "Y", "S", "Cl", "Al"], "frac_coords": [[0.000, 0.000, 0.500], [0.000, 0.000, 0.000], [0.000, 0.500, 0.000], [0.500, 0.000, 0.000], [0.500, 0.500, 0.500]], "volume_a3_per_atom": 29.66, "formation_energy_uncorrected_kj_per_mol_atoms": -118.1, "de_polymorph_kj_per_mol_fu": 0.0, "density_g_cm3": 2.451, "space_group": "P4/mmm, No. 123", "dft_energy_ev_per_cell": -24.150}